# 1
VASP calculation (PBE) on a relaxed structure of Zr2NiPt8.

Geometry as POSCAR:
```
Zr2NiPt8
1.0
-2.014 4.001 5.793
2.014 -4.001 5.793
2.014 4.001 -5.793
Zr Ni Pt
2 1 8
Cartesian
0.000 0.000 1.794 Zr
0.000 0.000 9.792 Zr
0.000 0.000 5.793 Ni
2.014 2.050 -1.831 Pt
0.000 2.131 0.000 Pt
2.014 0.000 3.699 Pt
2.014 2.050 1.831 Pt
0.000 1.951 3.961 Pt
0.000 4.001 2.094 Pt
0.000 5.871 0.000 Pt
0.000 1.951 7.624 Pt
```

Output
crystal system = orthorhombic
calculated density = 16.0 Mg/m³
symmetry = Immm, No. 71
N(E_F) = 6.17 states/eV per cell
formation enthalpy at 0 K = -14.77 kcal/mol of atoms


# 2
VASP calculation (PBE) on a relaxed structure of ZrNi2Pt.

Geometry as POSCAR:
```
ZrNi2Pt
1.0
1.412 0.815 8.711
-1.412 0.815 8.711
0.000 -1.630 8.711
Zr Ni Pt
1 2 1
Cartesian
0.000 0.000 0.000 Zr
0.000 0.000 12.864 Ni
0.000 0.000 19.692 Ni
0.000 0.000 6.292 Pt
```

Output
crystal system = trigonal
calculated density = 11.1 Mg/m³
symmetry = R3m, No. 160
N(E_F) = 7.06 states/eV per cell
formation enthalpy at 0 K = -0.16 kcal/mol of atoms


# 3
VASP calculation (PBE) on a relaxed structure of ZrNiPt.

Geometry as POSCAR:
```
ZrNiPt
1.0
0.000 2.992 2.992
2.992 0.000 2.992
2.992 2.992 0.000
Zr Ni Pt
1 1 1
Cartesian
0.000 0.000 0.000 Zr
1.496 1.496 1.496 Ni
2.992 2.992 2.992 Pt
```

Output
crystal system = cubic
calculated density = 10.7 Mg/m³
symmetry = F-43m, No. 216
N(E_F) = 1.65 states/eV per cell
formation enthalpy at 0 K = -11.27 kcal/mol of atoms


# 4
VASP calculation (PBE) on a relaxed structure of ZrNi2Pt.

Geometry as POSCAR:
```
ZrNi2Pt
1.0
-1.912 1.912 8.880
1.912 -1.912 8.880
1.912 1.912 -8.880
Zr Ni Pt
2 4 2
Cartesian
0.000 0.000 0.000 Zr
0.000 1.912 4.440 Zr
0.956 -0.810 6.660 Ni
1.102 0.956 2.220 Ni
0.956 2.722 -2.220 Ni
0.810 0.956 11.101 Ni
1.912 0.000 4.440 Pt
0.000 0.000 8.880 Pt
```

Output
crystal system = tetragonal
calculated density = 10.3 Mg/m³
symmetry = I-42d, No. 122
N(E_F) = 7.98 states/eV per cell
formation enthalpy at 0 K = -4.65 kcal/mol of atoms


# 5
VASP calculation (PBE) on a relaxed structure of ZrNi2Pt.

Geometry as POSCAR:
```
ZrNi2Pt
1.0
-1.914 1.914 3.986
1.914 -1.914 3.986
1.914 1.914 -3.986
Zr Ni Pt
1 2 1
Cartesian
0.000 0.000 0.000 Zr
0.000 0.000 3.986 Ni
0.000 1.914 1.993 Ni
1.914 0.000 1.993 Pt
```

Output
crystal system = tetragonal
calculated density = 11.5 Mg/m³
symmetry = I-4m2, No. 119
N(E_F) = 2.74 states/eV per cell
formation enthalpy at 0 K = -14.39 kcal/mol of atoms


# 6
VASP calculation (PBE) on a relaxed structure of Zr4NiPt.

Geometry as POSCAR:
```
Zr4NiPt
1.0
0.000 3.916 3.916
3.916 0.000 3.916
3.916 3.916 0.000
Zr Ni Pt
4 1 1
Cartesian
0.981 0.981 0.981 Zr
2.935 2.935 0.981 Zr
2.935 0.981 2.935 Zr
0.981 2.935 2.935 Zr
5.875 5.875 5.875 Ni
3.916 3.916 3.916 Pt
```

Output
crystal system = cubic
calculated density = 8.6 Mg/m³
symmetry = F-43m, No. 216
N(E_F) = 5.54 states/eV per cell
formation enthalpy at 0 K = 7.57 kcal/mol of atoms
polymorph energy (0 for the lowest one) = 877 meV/atom